DFT (PBEsol) results for a relaxed Li2HgI crystal.

Computed properties:
The offset from the most stable computed form comes out at 0.004 eV per atom. Its formation energy (no corrections) is -0.4614 eV per atom. As for the total magnetization: 0.000 μB/atom. The value obtained for the total energy is -2.028 eV per atom.

abc: 5.1249 5.1249 9.1285
angles: 106.30 106.30 90.00
With the nearest neighbours (Å) after each atom.
Atoms (fractional coordinates):
I 0.7500 0.2500 0.5000  4 Li 2.79
I 0.5000 0.5000 0.0000  4 Li 2.79
Hg 0.2500 0.7500 0.5000  4 Li 2.75
Hg 0.0000 0.0000 0.0000  4 Li 2.75
Li 0.3658 0.8750 0.2500  2 Hg 2.75, 2 I 2.79
Li 0.8842 0.3750 0.2500  2 Hg 2.75, 2 I 2.79
Li 0.1250 0.1158 0.7500  2 Hg 2.75, 2 I 2.79
Li 0.6250 0.6342 0.7500  2 Hg 2.75, 2 I 2.79

***

DFT (PBEsol) results for a relaxed InReRh crystal.

Computed properties:
Its formation energy from the elements is 45.60 kJ/mol of atoms. As for the total magnetization: 0.000 μB/atom. The value obtained for the total energy is -7.679 eV per atom.

abc: 4.2467 4.2467 4.2467
angles: 60.00 60.00 60.00
With the nearest neighbours (Å) after each atom.
Atoms (fractional coordinates):
In 0.0000 0.0000 0.0000  4 Rh 2.60
Re 0.5000 0.5000 0.5000  4 Rh 2.60
Rh 0.2500 0.2500 0.2500  4 Re 2.60, 4 In 2.60

***

DFT (PBEsol) results for a relaxed Hg2SbF6 crystal.

Computed properties:
Its formation energy (no corrections) is -1.8162 eV per atom. As for the total magnetization: 0.000 μB/atom. The value obtained for the total energy is -3.734 eV per atom.

abc: 5.7845 5.7845 9.8905
angles: 106.93 106.93 90.00
With the nearest neighbours (Å) after each atom.
Atoms (fractional coordinates):
Hg 0.0000 0.0000 0.5000  4 F 2.73, 2 Hg 2.89
Hg 0.0000 0.0000 0.0000  4 F 2.73, 2 Hg 2.89
Hg 0.0000 0.5000 0.0000  4 F 2.73, 2 Hg 2.89
Hg 0.5000 0.0000 0.5000  4 F 2.73, 2 Hg 2.89
Sb 0.6247 0.3753 0.2500  6 F 1.90-1.91
Sb 0.3753 0.6247 0.7500  6 F 1.90-1.91
F 0.8584 0.1416 0.2500  1 Sb 1.91
F 0.8583 0.6091 0.2500  1 Sb 1.91
F 0.7302 0.4805 0.4613  1 Sb 1.90
F 0.4805 0.7302 0.9613  1 Sb 1.90
F 0.3910 0.6090 0.2500  1 Sb 1.91
F 0.3909 0.1417 0.2500  1 Sb 1.91
F 0.6091 0.8583 0.7500  1 Sb 1.91
F 0.6090 0.3910 0.7500  1 Sb 1.91
F 0.5195 0.2698 0.0387  1 Sb 1.90
F 0.2698 0.5195 0.5387  1 Sb 1.90
F 0.1417 0.3909 0.7500  1 Sb 1.91
F 0.1416 0.8584 0.7500  1 Sb 1.91

***

DFT (PBEsol) results for a relaxed RbZrF2 crystal.

Computed properties:
The offset from the most stable computed form comes out at 0.000 eV per atom. Its formation energy (no corrections) is -1.6961 eV per atom. As for the total magnetization: 0.685 μB/atom. The value obtained for the total energy is -5.189 eV per atom.

abc: 6.2111 6.2626 6.2111
angles: 60.27 90.00 119.73
With the nearest neighbours (Å) after each atom.
Atoms (fractional coordinates):
Rb 0.2500 0.5000 0.2500  4 F 2.72
Rb 0.5000 0.0000 0.5000  4 F 2.72
Zr 0.7500 0.5000 0.7500  4 F 2.24
Zr 0.0000 0.0000 0.0000  4 F 2.24
F 0.6872 0.7500 0.3750  2 Zr 2.24
F 0.0628 0.7500 0.8750  2 Zr 2.24
F 0.8750 0.2500 0.6872  2 Zr 2.24
F 0.3750 0.2500 0.0628  2 Zr 2.24

***

DFT (PBEsol) results for a relaxed LaY2Mg crystal.

Computed properties:
Its formation energy from the elements is 3.25 kJ/mol of atoms. As for the total magnetization: 0.000 μB/atom. The value obtained for the total energy is -5.143 eV per atom.

abc: 3.5659 5.8737 5.8737
angles: 106.05 90.00 90.00
With the nearest neighbours (Å) after each atom.
Atoms (fractional coordinates):
La 0.5000 0.0000 0.0000  8 Y 3.44, 2 Mg 3.53, 2 La 3.57
Mg 0.5000 0.5000 0.5000  8 Y 3.44, 2 La 3.53, 2 Mg 3.57
Y 0.0000 0.5000 0.0000  4 Mg 3.44, 4 La 3.44, 4 Y 3.53-3.57
Y 0.0000 0.0000 0.5000  4 La 3.44, 4 Mg 3.44, 4 Y 3.53-3.57

***

DFT (PBEsol) results for a relaxed Sr4Ca2TlCu4PbO14 crystal.

Computed properties:
Its formation energy (no corrections) is -1.7417 eV per atom. As for the total magnetization: 0.000 μB/atom. The value obtained for the total energy is -5.937 eV per atom.

abc: 5.2914 5.2914 12.6205
angles: 102.10 102.10 90.00
With the nearest neighbours (Å) after each atom.
Atoms (fractional coordinates):
Sr 0.6078 0.1078 0.2156  9 O 2.60-2.70
Sr 0.1078 0.6078 0.2156  9 O 2.60-2.70
Sr 0.8922 0.3922 0.7844  9 O 2.60-2.70
Sr 0.3922 0.8922 0.7844  9 O 2.60-2.70
Ca 0.7500 0.2500 0.5000  8 O 2.43
Ca 0.2500 0.7500 0.5000  8 O 2.43
Tl 0.5000 0.5000 0.0000  2 O 2.07
Cu 0.1793 0.1793 0.3586  4 O 1.88
Cu 0.6803 0.6803 0.3606  4 O 1.87
Cu 0.3197 0.3197 0.6394  4 O 1.87
Cu 0.8207 0.8207 0.6414  4 O 1.88
Pb 0.0000 0.0000 0.0000  2 O 2.12
O 0.9354 0.9354 0.3712  2 Cu 1.87-1.88
O 0.4358 0.4358 0.3712  2 Cu 1.87-1.88
O 0.9354 0.4358 0.3712  2 Cu 1.87-1.88
O 0.4358 0.9354 0.3712  2 Cu 1.87-1.88
O 0.0646 0.0646 0.6288  2 Cu 1.87-1.88
O 0.5642 0.5642 0.6288  2 Cu 1.87-1.88
O 0.0646 0.5642 0.6288  2 Cu 1.87-1.88
O 0.5642 0.0646 0.6288  2 Cu 1.87-1.88
O 0.0878 0.0878 0.1756  1 Pb 2.12, 1 Cu 2.21
O 0.5859 0.5859 0.1717  1 Tl 2.07, 1 Cu 2.28
O 0.4141 0.4141 0.8283  1 Tl 2.07, 1 Cu 2.28
O 0.9122 0.9122 0.8244  1 Pb 2.12, 1 Cu 2.21
O 0.0000 0.5000 0.0000  2 Sr 2.60, 2 Tl 2.65, 2 Pb 2.65
O 0.5000 0.0000 0.0000  2 Sr 2.60, 2 Tl 2.65, 2 Pb 2.65

***

DFT (PBEsol) results for a relaxed YCu3Se crystal.

Computed properties:
Its formation energy (no corrections) is 0.2826 eV per atom. As for the total magnetization: 0.000 μB/atom. The value obtained for the total energy is -4.452 eV per atom.

abc: 4.5636 4.5636 4.5636
angles: 90.00 90.00 90.00
With the nearest neighbours (Å) after each atom.
Atoms (fractional coordinates):
Y 0.5000 0.5000 0.5000  12 Cu 3.23
Cu 0.0000 0.5000 0.0000  2 Se 2.28
Cu 0.0000 0.0000 0.5000  2 Se 2.28
Cu 0.5000 0.0000 0.0000  2 Se 2.28
Se 0.0000 0.0000 0.0000  6 Cu 2.28

***

DFT (PBEsol) results for a relaxed Ba2YTlCo2O7 crystal.

Computed properties:
Its formation energy (no corrections) is -1.9098 eV per atom. As for the total magnetization: 0.293 μB/atom. The value obtained for the total energy is -6.984 eV per atom.

abc: 3.7845 3.8158 12.6351
angles: 90.00 90.00 90.00
With the nearest neighbours (Å) after each atom.
Atoms (fractional coordinates):
Ba 0.5000 0.4979 0.2089  9 O 2.66-2.96
Ba 0.5000 0.4979 0.7911  9 O 2.66-2.96
Y 0.5000 0.4964 0.5000  8 O 2.37-2.38
Tl 0.0000 0.9389 0.0000  4 O 2.11-2.34
Co 0.0000 0.9967 0.3952  4 O 1.89-1.91
Co 0.0000 0.9967 0.6048  4 O 1.89-1.91
O 0.5000 0.5784 0.0000  2 Tl 2.34
O 0.0000 0.0097 0.1657  1 Tl 2.11
O 0.0000 0.0097 0.8343  1 Tl 2.11
O 0.0000 0.4967 0.3874  2 Co 1.91
O 0.5000 0.9959 0.3879  2 Co 1.89
O 0.5000 0.9959 0.6121  2 Co 1.89
O 0.0000 0.4967 0.6126  2 Co 1.91

***

What is the formula in the sixth record? Sr4Ca2TlCu4PbO14

***

Copy entry 3 word for word.
DFT (PBEsol) results for a relaxed Hg2SbF6 crystal.

Computed properties:
Its formation energy (no corrections) is -1.8162 eV per atom. As for the total magnetization: 0.000 μB/atom. The value obtained for the total energy is -3.734 eV per atom.

abc: 5.7845 5.7845 9.8905
angles: 106.93 106.93 90.00
With the nearest neighbours (Å) after each atom.
Atoms (fractional coordinates):
Hg 0.0000 0.0000 0.5000  4 F 2.73, 2 Hg 2.89
Hg 0.0000 0.0000 0.0000  4 F 2.73, 2 Hg 2.89
Hg 0.0000 0.5000 0.0000  4 F 2.73, 2 Hg 2.89
Hg 0.5000 0.0000 0.5000  4 F 2.73, 2 Hg 2.89
Sb 0.6247 0.3753 0.2500  6 F 1.90-1.91
Sb 0.3753 0.6247 0.7500  6 F 1.90-1.91
F 0.8584 0.1416 0.2500  1 Sb 1.91
F 0.8583 0.6091 0.2500  1 Sb 1.91
F 0.7302 0.4805 0.4613  1 Sb 1.90
F 0.4805 0.7302 0.9613  1 Sb 1.90
F 0.3910 0.6090 0.2500  1 Sb 1.91
F 0.3909 0.1417 0.2500  1 Sb 1.91
F 0.6091 0.8583 0.7500  1 Sb 1.91
F 0.6090 0.3910 0.7500  1 Sb 1.91
F 0.5195 0.2698 0.0387  1 Sb 1.90
F 0.2698 0.5195 0.5387  1 Sb 1.90
F 0.1417 0.3909 0.7500  1 Sb 1.91
F 0.1416 0.8584 0.7500  1 Sb 1.91

***

What is the total energy in the eighth record? -6.984 eV per atom

***

Look up the total energy of the third one. -3.734 eV per atom